Entry 1:
# Zr2CrNi | Alexandria via LeMat-Bulk | PBE | optimized geometry
data_Zr2CrNi
_cell_length_a 3.1893
_cell_length_b 3.1893
_cell_length_c 23.7946
_cell_angle_alpha 90.00
_cell_angle_beta 90.00
_cell_angle_gamma 120.00
_symmetry_space_group_name_H-M 'R -3 m'
_symmetry_Int_Tables_number 166
_symmetry_space_group_name_Hall '-R 3 2"'
loop_
_atom_site_label
_atom_site_type_symbol
_atom_site_fract_x
_atom_site_fract_y
_atom_site_fract_z
Zr1 Zr 0.0000 0.0000 0.2491
Cr1 Cr 0.0000 0.0000 0.5000
Ni1 Ni 0.0000 0.0000 0.0000
# - E (eV per atom) = -7.898
# - calculated volume (Å³/atom) = 17.47
# - total moment (μB/f.u.) = 0.28
# - theoretical density (Mg/m³) = 7.0
# - calculated formation energy (eV per atom) = 0.23

---

Entry 2:
# TmLuCu2 | Alexandria via LeMat-Bulk | PBE | optimized geometry
data_TmLuCu2
_cell_length_a 6.8095
_cell_length_b 6.8095
_cell_length_c 6.8095
_cell_angle_alpha 90.00
_cell_angle_beta 90.00
_cell_angle_gamma 90.00
_symmetry_space_group_name_H-M 'F m -3 m'
_symmetry_Int_Tables_number 225
_symmetry_space_group_name_Hall '-F 4 2 3'
loop_
_atom_site_label
_atom_site_type_symbol
_atom_site_fract_x
_atom_site_fract_y
_atom_site_fract_z
Tm1 Tm 0.0000 0.0000 0.0000
Lu1 Lu 0.0000 0.0000 0.5000
Cu1 Cu 0.2500 0.2500 0.2500
# - E (eV per atom) = -4.593
# - calculated volume (Å³/atom) = 19.73
# - total moment (μB/f.u.) = 0.00
# - theoretical density (Mg/m³) = 9.9
# - calculated formation energy (eV per atom) = -0.30